# 1
Below is a relaxed structure of Te2IrW, with properties calculated at the GGA-PBE level.

a = 4.055 Å, b = 4.055 Å, c = 7.308 Å
α = 106.18°, β = 106.18°, γ = 60.01°
Positions (direct):
Te 0.000 0.000 0.000
Te 0.195 0.195 0.583
Ir 0.735 0.735 0.204
W 0.445 0.445 0.334

Summary:
V (Å³/f.u.): 98.6
Size of the total moment (μB/cell): 0.00
E_form (uncorrected) (eV/f.u.): 0.56

---

# 2
Below is a relaxed structure of Hf6Zn5Co, with properties calculated at the GGA-PBE level.

a = 8.028 Å, b = 8.028 Å, c = 8.028 Å
α = 146.40°, β = 131.58°, γ = 60.22°
Positions (direct):
Hf 0.082 0.337 0.745
Hf 0.242 0.000 0.242
Hf 0.408 0.663 0.745
Hf 0.592 0.337 0.255
Hf 0.758 0.000 0.758
Hf 0.918 0.663 0.255
Zn 0.172 0.172 0.000
Zn 0.333 0.833 0.500
Zn 0.500 0.500 0.000
Zn 0.667 0.167 0.500
Zn 0.828 0.828 0.000
Co 0.000 0.500 0.500

Summary:
V (Å³/f.u.): 212.2
Size of the total moment (μB/cell): 1.57

---

# 3
Below is a relaxed structure of KSc2Pb, with properties calculated at the GGA-PBE level.

a = 6.613 Å, b = 6.613 Å, c = 3.293 Å
α = 103.33°, β = 103.33°, γ = 117.35°
Positions (direct):
K 0.000 0.000 0.000
Sc 0.000 0.500 0.500
Sc 0.500 0.000 0.500
Pb 0.500 0.500 0.000

Summary:
V (Å³/f.u.): 114.7
Size of the total moment (μB/cell): 0.00

---

# 4
Below is a relaxed structure of Rb2PrAgCl6, with properties calculated at the GGA-PBE level.

a = 7.763 Å, b = 7.763 Å, c = 7.763 Å
α = 60.00°, β = 60.00°, γ = 60.00°
Positions (direct):
Rb 0.250 0.250 0.250
Rb 0.750 0.750 0.750
Pr 0.000 0.000 0.000
Ag 0.500 0.500 0.500
Cl 0.250 0.250 0.750
Cl 0.250 0.750 0.250
Cl 0.250 0.750 0.750
Cl 0.750 0.250 0.250
Cl 0.750 0.250 0.750
Cl 0.750 0.750 0.250

Summary:
V (Å³/f.u.): 330.8
Size of the total moment (μB/cell): 0.00
E_form (uncorrected) (eV/f.u.): -17.82

---

# 5
Below is a relaxed structure of BiOs, with properties calculated at the GGA-PBE level.

a = 10.354 Å, b = 10.354 Å, c = 4.079 Å
α = 90.00°, β = 90.00°, γ = 120.00°
Positions (direct):
Bi 0.155 0.765 0.250
Bi 0.235 0.390 0.250
Bi 0.390 0.155 0.750
Bi 0.610 0.845 0.250
Bi 0.765 0.610 0.750
Bi 0.845 0.235 0.750
Os 0.004 0.438 0.250
Os 0.433 0.996 0.250
Os 0.438 0.433 0.750
Os 0.562 0.567 0.250
Os 0.567 0.004 0.750
Os 0.996 0.562 0.750

Summary:
V (Å³/f.u.): 63.1
Size of the total moment (μB/cell): 0.00

---

# 6
Below is a relaxed structure of PmTlP2O8, with properties calculated at the GGA-PBE level.

a = 5.894 Å, b = 5.894 Å, c = 5.894 Å
α = 105.58°, β = 105.58°, γ = 117.57°
Positions (direct):
Pm 0.000 0.000 0.000
Tl 0.250 0.750 0.500
P 0.500 0.500 0.000
P 0.750 0.250 0.500
O 0.341 0.170 0.829
O 0.341 0.511 0.171
O 0.419 0.089 0.329
O 0.489 0.659 0.829
O 0.760 0.089 0.671
O 0.830 0.659 0.171
O 0.911 0.240 0.329
O 0.911 0.581 0.671

Summary:
V (Å³/f.u.): 155.2
Size of the total moment (μB/cell): 0.00
E_form (uncorrected) (eV/f.u.): -27.12

---

# 7
Below is a relaxed structure of TcP2W, with properties calculated at the GGA-PBE level.

a = 7.295 Å, b = 7.295 Å, c = 7.295 Å
α = 24.00°, β = 24.00°, γ = 24.00°
Positions (direct):
Tc 0.000 0.000 0.000
P 0.580 0.580 0.580
P 0.743 0.743 0.743
W 0.158 0.158 0.158

Summary:
V (Å³/f.u.): 56.4
Size of the total moment (μB/cell): 0.00

---

# 8
Below is a relaxed structure of PrTeIO4, with properties calculated at the GGA-PBE level.

a = 6.905 Å, b = 6.905 Å, c = 7.170 Å
α = 102.91°, β = 102.91°, γ = 65.03°
Positions (direct):
Pr 0.248 0.248 0.361
Pr 0.752 0.752 0.639
Te 0.129 0.129 0.757
Te 0.871 0.871 0.243
I 0.494 0.494 0.752
I 0.506 0.506 0.248
O 0.015 0.381 0.638
O 0.035 0.035 0.306
O 0.195 0.195 0.021
O 0.381 0.015 0.638
O 0.619 0.985 0.362
O 0.805 0.805 0.979
O 0.965 0.965 0.694
O 0.985 0.619 0.362

Summary:
V (Å³/f.u.): 149.4
Size of the total moment (μB/cell): 0.00
E_form (uncorrected) (eV/f.u.): -11.03

---

no.,total DFT energy (no corrections) (hartree per atom)
1,-0.2530
2,-0.2316
3,-0.1506
4,-0.1414
5,-0.2464
6,-0.2594
7,-0.3220
8,-0.2117